KNbVO4 (GGA+U, optimized geometry); space-group type = No. 11; M_tot = 6.00 Bohr magnetons per cell; DFT total energy = -7.526 eV per atom
1.0
5.664 0.000 0.000
0.000 5.775 0.000
-2.572 0.000 7.476
K Nb V O
2 2 2 8
direct
0.040 0.250 0.142
0.960 0.750 0.858
0.409 0.250 0.652
0.591 0.750 0.348
0.143 0.750 0.463
0.857 0.250 0.537
0.183 0.011 0.668
0.183 0.489 0.668
0.250 0.750 0.203
0.448 0.250 0.427
0.552 0.750 0.573
0.750 0.250 0.797
0.817 0.511 0.332
0.817 0.989 0.332